KCl: relaxed, PBEsol.

Output
total DFT energy (no corrections)	-3.453	eV per atom
total magnetization	0.00	μB/f.u.
space group	Cm (8)
density	2.14	g cm⁻³

Cell and atoms, written as POSCAR:
```
KCl
1.0
-3.793 -0.903 -0.636
1.228 -0.659 5.883
-1.619 7.880 -1.526
K Cl
3 3
Cartesian
-2.617 1.628 1.030
-3.512 3.321 3.966
-3.874 6.518 1.587
-1.726 7.678 -0.601
-1.376 4.510 1.807
-1.020 1.496 3.959
```

---

TiCo3Ge: relaxed, PBEsol.

Output
total magnetization	2.43	μB/f.u.
space group	Pm-3m (221)
density	6.70	g cm⁻³
energy of formation from the pure elements	654	meV/atom

Cell and atoms, written as POSCAR:
```
TiCo3Ge
1.0
-3.860 -1.585 -0.408
0.137 -1.356 3.965
-1.631 3.637 1.300
Ge Co Ti
1 3 1
Cartesian
0.000 0.000 0.000
0.069 -0.678 1.982
-0.816 1.818 0.650
-1.930 -0.793 -0.204
-2.677 0.348 2.428
```

---

MnCr4Cl: relaxed, PBEsol.

Output
total DFT energy (no corrections)	-7.957	eV per atom
total magnetization	2.26	μB/f.u.
space group	F-43m (216)
density	6.60	g cm⁻³

Cell and atoms, written as POSCAR:
```
MnCr4Cl
1.0
-1.802 -2.543 -3.565
2.606 -3.381 -2.050
-1.094 -4.560 0.660
Cl Cr Mn
1 4 1
Cartesian
0.000 0.000 0.000
-0.109 -3.930 -1.858
-0.656 -6.211 -1.527
-1.010 -5.203 -3.641
1.195 -5.622 -2.884
-0.217 -7.862 -3.716
```

---

SbP4O12: relaxed, PBEsol.

Output
total magnetization	0.38	μB/f.u.
polymorph energy (0 for the lowest one)	17	meV per atom
space group	C2/c (15)
density	3.17	g cm⁻³

Cell and atoms, written as POSCAR:
```
SbP4O12
1.0
7.453 -0.140 0.078
-2.569 6.998 -0.078
-3.097 -2.962 8.850
Sb P O
2 8 24
Cartesian
1.368 -0.384 2.232
0.420 4.279 6.618
3.715 4.924 0.230
0.654 -0.403 7.267
3.623 0.186 4.694
-1.583 1.065 2.803
-1.928 -1.029 8.620
-1.836 3.709 4.156
3.370 2.830 6.047
1.133 4.298 1.583
3.512 -1.203 5.257
0.866 0.287 5.996
1.899 3.110 5.727
1.839 1.177 0.902
5.130 0.350 4.203
-0.052 2.718 7.947
-1.725 5.098 3.593
0.832 3.411 0.261
2.707 4.649 1.412
3.554 1.228 5.876
5.287 0.498 1.610
0.921 3.608 2.854
-0.920 -0.754 7.437
0.388 5.597 1.263
4.991 5.482 0.793
1.399 -1.702 7.587
-1.766 2.667 2.974
0.956 0.484 8.589
-3.500 3.397 7.240
-0.112 0.785 3.123
-3.204 -1.588 8.057
2.689 0.571 3.561
-3.343 3.545 4.647
-0.902 3.324 5.288
```